Compound: Pr2MnAgO5
Source: the Alexandria database
Functional: PBE+U
Structure: relaxed

Cell lengths 5.7557, 6.8418, 6.8418 Å; angles 90.00, 90.00, 90.00 degrees
Site moments in Bohr magnetons follow the coordinates.
Fractional positions:
O1 0.2425 0.8674 0.3674  -0.01
Mn1 0.0000 0.0000 0.5000  3.77
O2 0.7575 0.6326 0.8674  -0.01
O3 0.5000 0.0000 0.0000  0.01
Ag1 0.0000 0.0000 0.0000  0.01
Ag2 0.0000 0.5000 0.5000  0.01
O4 0.2425 0.1326 0.6326  -0.01
Pr1 0.5000 0.1779 0.3221  0.00
O5 0.7575 0.1326 0.6326  -0.01
O6 0.5000 0.5000 0.5000  0.01
Pr2 0.5000 0.6779 0.1779  0.00
O7 0.2425 0.6326 0.8674  -0.01
Pr3 0.5000 0.8221 0.6779  0.00
Mn2 0.0000 0.5000 0.0000  3.77
O8 0.2425 0.3674 0.1326  -0.01
O9 0.7575 0.3674 0.1326  -0.01
O10 0.7575 0.8674 0.3674  -0.01
Pr4 0.5000 0.3221 0.8221  0.00

Computed properties:
- raw total energy (eV per cell) = -128.13
- magnetization (μB/f.u.) = 3.991
- space group = P4/mbm, No. 127